VASP calculation (PBE) on a relaxed BaInGaIr crystal.

Computed properties:
Symmetry ... R3m (160)
DOS at the Fermi energy ... 1.93 states/eV per cell
VASP energy ... -4.5303 eV/atom
Calculated density ... 7.95 g/cm3
Magnetization ... 0.000 Bohr magnetons per cell

Cell: 4.476 4.476 6.707 Å, 70.51 70.51 60.00°
Element x y z (fractional)
1 Ba 0.819 0.819 0.543
2 In 0.014 0.014 0.959
3 Ir 0.618 0.618 0.146
4 Ga 0.275 0.275 0.174